[1]
{"formula": "RbNa2Hg2", "functional": "PBEsol", "state": "relaxed", "sg": "P4/mbm, No. 127", "total_energy_ev_per_atom": -1.142, "formation_energy_ev_per_atom": -0.150, "de_polymorph_mev_per_atom": 14, "lattice": [[3.791, 0.000, 0.000], [0.000, 9.052, 0.000], [0.000, 0.000, 9.052]], "species": ["Na", "Na", "Na", "Na", "Hg", "Hg", "Hg", "Hg", "Rb", "Rb"], "fractional_positions": [[0.500, 0.832, 0.332], [0.500, 0.332, 0.168], [0.500, 0.668, 0.832], [0.500, 0.168, 0.668], [0.000, 0.116, 0.384], [0.000, 0.616, 0.116], [0.000, 0.384, 0.884], [0.000, 0.884, 0.616], [0.000, 0.000, 0.000], [0.000, 0.500, 0.500]]}

[2]
{"formula": "ZrCdCl2", "functional": "PBEsol", "state": "relaxed", "sg": "Cmmm, No. 65", "total_energy_ev_per_atom": -3.925, "raw_formation_energy_mev_per_atom": -349, "de_polymorph_mev_per_atom": 218, "lattice": [[-2.377, -1.158, -1.727], [2.959, 0.203, -4.207], [0.708, -4.632, 2.131]], "species": ["Zr", "Cl", "Cl", "Cd"], "fractional_positions": [[0.500, 0.000, 0.000], [0.000, 0.000, 0.500], [0.000, 0.500, 0.000], [0.500, 0.500, 0.500]]}